Record 1
Below is a relaxed Y2Te crystal, with properties calculated at the PBE level.

The structure in POSCAR format:
```
Y2Te
1.0
-5.081 -0.869 -0.575
1.201 -3.694 -5.037
0.686 -7.999 6.031
Y Te
8 4
direct
0.250 0.101 0.793
0.750 0.399 0.293
0.250 0.601 0.707
0.750 0.899 0.207
0.250 0.155 0.453
0.750 0.345 0.953
0.250 0.655 0.047
0.750 0.845 0.547
0.250 0.671 0.372
0.750 0.829 0.872
0.250 0.171 0.128
0.750 0.329 0.628
```

Record 2
Below is a relaxed Y3Te crystal, with properties calculated at the PBE level.

The structure in POSCAR format:
```
Y3Te
1.0
3.785 0.000 0.000
0.000 3.790 0.000
0.000 0.000 9.409
Y Te
3 1
direct
0.000 0.500 0.473
0.500 0.500 0.150
0.500 0.000 0.722
0.000 0.000 0.988
```

Record 3
Below is a relaxed Y3Te crystal, with properties calculated at the PBE level.

The structure in POSCAR format:
```
Y3Te
1.0
-0.625 -2.726 -5.389
-6.864 -6.308 0.567
-6.166 4.787 -5.128
Y Te
12 4
direct
0.372 0.973 0.812
0.157 0.027 0.188
0.816 0.812 0.027
0.655 0.188 0.973
0.556 0.331 0.608
0.495 0.669 0.392
0.836 0.608 0.669
0.113 0.392 0.331
0.971 0.963 0.602
0.536 0.037 0.398
0.427 0.602 0.037
0.067 0.398 0.963
0.073 0.256 0.659
0.988 0.744 0.341
0.268 0.659 0.744
0.671 0.341 0.256
```

Record 4
Below is a relaxed YTe3 crystal, with properties calculated at the PBE level.

The structure in POSCAR format:
```
YTe3
1.0
3.960 0.000 0.000
0.000 3.960 0.000
0.000 0.000 7.385
Te Y
3 1
direct
0.000 0.000 0.959
0.500 0.500 0.250
0.000 0.000 0.541
0.500 0.500 0.750
```

Record 5
Below is a relaxed Y3Te crystal, with properties calculated at the PBE level.

The structure in POSCAR format:
```
Y3Te
1.0
-2.943 -3.776 -0.459
3.212 -2.157 -2.857
2.037 -2.055 3.842
Te Y
1 3
direct
0.000 0.000 0.000
0.000 0.500 0.500
0.500 0.000 0.500
0.500 0.500 0.000
```

Record 6
Below is a relaxed Y5Te crystal, with properties calculated at the PBE level.

The structure in POSCAR format:
```
Y5Te
1.0
-2.353 1.967 2.301
0.819 -2.391 2.883
9.534 7.397 3.426
Te Y
1 5
direct
0.500 0.500 0.000
0.000 0.000 0.859
0.000 0.000 0.141
0.500 0.500 0.684
0.500 0.500 0.316
0.000 0.000 0.500
```

Record 7
Below is a relaxed YTe3 crystal, with properties calculated at the PBE level.

The structure in POSCAR format:
```
YTe3
1.0
9.634 2.741 3.708
-9.857 3.516 -2.136
-1.434 -1.212 4.622
Y Te
2 6
direct
0.205 0.795 0.750
0.795 0.205 0.250
0.967 0.033 0.250
0.033 0.967 0.750
0.421 0.094 0.250
0.579 0.906 0.750
0.906 0.579 0.250
0.094 0.421 0.750
```

Record 8
Below is a relaxed Y3Te crystal, with properties calculated at the PBE level.

The structure in POSCAR format:
```
Y3Te
1.0
-0.714 5.939 -2.647
0.159 -3.007 -6.790
-9.822 -1.071 0.245
Te Y
4 12
direct
0.598 0.883 0.750
0.098 0.617 0.250
0.902 0.383 0.750
0.402 0.117 0.250
0.146 0.019 0.750
0.646 0.481 0.250
0.354 0.519 0.750
0.854 0.981 0.250
0.624 0.198 0.960
0.124 0.302 0.040
0.876 0.698 0.540
0.376 0.802 0.460
0.376 0.802 0.040
0.876 0.698 0.960
0.124 0.302 0.460
0.624 0.198 0.540
```

Record 9
Below is a relaxed YTe5 crystal, with properties calculated at the PBE level.

The structure in POSCAR format:
```
YTe5
1.0
-6.939 -0.762 7.177
3.925 -1.002 -9.155
1.691 -4.220 1.187
Y Te
1 5
direct
0.500 0.500 0.000
0.331 0.669 0.500
0.148 0.852 0.000
0.000 0.000 0.500
0.852 0.148 0.000
0.669 0.331 0.500
```

Record 10
Below is a relaxed Y2Te crystal, with properties calculated at the PBE level.

The structure in POSCAR format:
```
Y2Te
1.0
3.879 0.000 0.000
0.000 3.879 0.000
-1.939 -1.939 5.778
Y Te
2 1
direct
0.156 0.156 0.312
0.844 0.844 0.688
0.500 0.500 0.000
```

Record 11
Below is a relaxed Y2Te crystal, with properties calculated at the PBE level.

The structure in POSCAR format:
```
Y2Te
1.0
-0.004 -3.746 -1.380
2.794 2.575 -1.224
4.080 -1.934 5.240
Y Te
2 1
direct
0.667 0.333 0.701
0.333 0.667 0.299
0.000 0.000 0.000
```

Record 12
Below is a relaxed Y5ZnTe2 crystal, with properties calculated at the PBE level.

The structure in POSCAR format:
```
Y5ZnTe2
1.0
-1.663 2.246 -3.520
-7.381 -0.212 3.353
2.244 10.438 5.599
Y Zn Te
10 2 4
direct
0.000 0.000 0.500
0.000 0.500 0.000
0.000 0.851 0.211
0.000 0.149 0.789
0.000 0.649 0.711
0.000 0.351 0.289
0.500 0.694 0.436
0.500 0.306 0.564
0.500 0.806 0.936
0.500 0.194 0.064
0.000 0.500 0.500
0.000 0.000 0.000
0.500 0.575 0.175
0.500 0.425 0.825
0.500 0.925 0.675
0.500 0.075 0.325
```

| no. | N(E_F) (states/eV/cell) | formation energy (no corrections) (meV/atom) |
| --- | --- | --- |
| 1 | 14.936 | -742 |
| 2 | 4.347 | -383 |
| 3 | 20.355 | -656 |
| 4 | 2.971 | -644 |
| 5 | 5.742 | -404 |
| 6 | 8.681 | -365 |
| 7 | 2.489 | -748 |
| 8 | 20.015 | -664 |
| 9 | 3.691 | -354 |
| 10 | 2.199 | -799 |
| 11 | 2.804 | -802 |
| 12 | 19.246 | -708 |